Version A
This record from the Alexandria database describes a relaxed Pr3Dy2Tm2 crystal. The functional is PBE.

Geometry as POSCAR:
```
Pr3Dy2Tm2
1.0
3.555 -0.001 -0.031
-1.806 7.639 -3.538
0.073 -0.543 8.777
Pr Dy Tm
3 2 2
Cartesian
0.000 0.000 0.000 Pr
0.037 4.103 4.166 Pr
1.786 2.992 1.042 Pr
0.025 0.840 3.291 Dy
1.797 6.255 1.916 Dy
-0.009 5.442 -1.096 Tm
1.831 1.653 6.303 Tm
```

Output
Symmetry: No. 2
Density of states at the Fermi level (states/eV/cell): 9.22
M_tot (μB per cell): 0.00
Calculated volume (A^3/atom): 33.07
Crystal system: triclinic
ρ (kg/m3): 7787

Version B
This record from the Alexandria database describes a relaxed Pr3Dy2Tm2 crystal. The functional is PBE.

Geometry as POSCAR:
```
Pr3Dy2Tm2
1.0
3.524 0.000 0.000
0.000 8.524 -0.732
-1.762 -3.523 8.089
Pr Dy Tm
3 2 2
Cartesian
0.000 4.262 -0.366 Pr
0.000 5.270 2.887 Pr
1.762 -0.269 4.470 Pr
1.762 7.309 0.377 Dy
0.000 -2.307 6.980 Dy
1.762 3.263 5.297 Tm
0.000 1.738 2.060 Tm
```

Output
Symmetry: No. 12
Density of states at the Fermi level (states/eV/cell): 10.96
M_tot (μB per cell): 0.00
Calculated volume (A^3/atom): 33.42
Crystal system: monoclinic
ρ (kg/m3): 7706

Stability summary - winner: version A; margin: 7.2 kJ/mol of atoms.

Version A
This record from the Alexandria database describes a relaxed Pr3DyTm crystal. The functional is PBE.

Geometry as POSCAR:
```
Pr3DyTm
1.0
6.190 -1.012 0.000
-1.036 6.194 0.005
3.095 -0.512 9.111
Pr Dy Tm
6 2 2
Cartesian
4.642 3.189 5.372 Pr
4.641 3.191 1.762 Pr
2.061 0.596 5.362 Pr
7.735 2.680 7.266 Pr
5.153 0.091 7.255 Pr
2.060 0.600 1.754 Pr
8.250 -0.417 9.063 Dy
1.546 3.695 3.564 Dy
4.642 3.187 9.063 Tm
5.155 0.093 3.564 Tm
```

Output
Symmetry: No. 2
Density of states at the Fermi level (states/eV/cell): 14.03
M_tot (μB per cell): 0.00
Calculated volume (A^3/atom): 33.98
Crystal system: triclinic
ρ (kg/m3): 7372

Version B
This record from the Alexandria database describes a relaxed Pr3DyTm crystal. The functional is PBE.

Geometry as POSCAR:
```
Pr3DyTm
1.0
-0.856 -6.138 1.808
0.605 2.372 8.343
-5.882 2.549 5.875
Pr Dy Tm
6 2 2
Cartesian
-1.912 0.049 5.028 Pr
-4.219 -1.266 10.997 Pr
-1.940 1.842 10.164 Pr
-0.914 -3.148 7.109 Pr
-4.122 -2.559 5.714 Pr
-5.287 1.432 9.063 Pr
-5.062 2.988 13.516 Dy
-1.069 -4.204 2.509 Dy
-3.114 2.474 6.928 Tm
-2.590 -0.621 8.193 Tm
```

Output
Symmetry: No. 20
Density of states at the Fermi level (states/eV/cell): 13.94
M_tot (μB per cell): 0.00
Calculated volume (A^3/atom): 35.73
Crystal system: orthorhombic
ρ (kg/m3): 7009

Stability summary - winner: version A; margin: 26.2 kJ/mol of atoms.

Version A
This record from the Alexandria database describes a relaxed Pr3Dy2Tm6 crystal. The functional is PBE.

Geometry as POSCAR:
```
Pr3Dy2Tm6
1.0
5.894 0.000 1.764
2.947 5.339 0.882
-1.256 0.000 11.439
Pr Dy Tm
3 2 6
Cartesian
0.000 0.000 0.000 Pr
2.947 1.753 0.882 Pr
5.894 3.586 1.764 Pr
2.319 3.564 6.601 Dy
5.266 1.775 7.483 Dy
3.498 3.562 9.846 Tm
3.491 0.000 9.848 Tm
0.551 1.777 8.965 Tm
1.147 0.000 3.354 Tm
4.087 1.777 4.238 Tm
7.034 3.562 5.120 Tm
```

Output
Symmetry: No. 12
Density of states at the Fermi level (states/eV/cell): 17.61
M_tot (μB per cell): 0.13
Calculated volume (A^3/atom): 33.80
Crystal system: monoclinic
ρ (kg/m3): 7866

Version B
This record from the Alexandria database describes a relaxed Pr3Dy2Tm6 crystal. The functional is PBE.

Geometry as POSCAR:
```
Pr3Dy2Tm6
1.0
4.739 0.000 0.000
0.000 4.739 0.000
-2.369 -2.369 16.576
Pr Dy Tm
3 2 6
Cartesian
0.000 0.000 0.000 Pr
2.369 2.369 9.763 Pr
0.000 0.000 6.814 Pr
0.000 0.000 15.035 Dy
2.369 2.369 1.542 Dy
0.000 2.369 3.994 Tm
2.369 0.000 3.994 Tm
2.369 0.000 12.582 Tm
0.000 2.369 12.582 Tm
2.369 2.369 6.315 Tm
0.000 0.000 10.261 Tm
```

Output
Symmetry: No. 139
Density of states at the Fermi level (states/eV/cell): 16.99
M_tot (μB per cell): 0.00
Calculated volume (A^3/atom): 33.84
Crystal system: tetragonal
ρ (kg/m3): 7858

Stability summary - winner: version A; margin: 6.1 kJ/mol of atoms.

Version A
This record from the Alexandria database describes a relaxed Pr2Dy8Tm crystal. The functional is PBE.

Geometry as POSCAR:
```
Pr2Dy8Tm
1.0
6.060 0.000 -2.732
-0.732 6.454 -1.623
0.350 0.715 8.864
Pr Dy Tm
2 8 1
Cartesian
4.249 4.808 1.337 Pr
1.430 2.360 3.172 Pr
4.767 2.688 -1.385 Dy
3.813 4.481 4.587 Dy
4.942 1.716 2.874 Dy
0.737 5.453 1.635 Dy
1.866 2.688 -0.077 Dy
0.912 4.481 5.895 Dy
2.971 5.994 -1.497 Dy
2.708 1.175 6.006 Dy
0.000 0.000 0.000 Tm
```

Output
Symmetry: No. 12
Density of states at the Fermi level (states/eV/cell): 16.78
M_tot (μB per cell): 0.00
Calculated volume (A^3/atom): 32.85
Crystal system: monoclinic
ρ (kg/m3): 8046

Version B
This record from the Alexandria database describes a relaxed Pr2Dy8Tm crystal. The functional is PBE.

Geometry as POSCAR:
```
Pr2Dy8Tm
1.0
5.670 1.629 0.000
2.587 8.655 0.000
1.294 4.328 8.037
Pr Dy Tm
2 8 1
Cartesian
1.294 4.328 3.109 Pr
2.587 8.655 4.928 Pr
5.246 3.193 1.842 Dy
6.539 7.521 6.195 Dy
2.785 4.161 0.000 Dy
5.422 9.470 3.328 Dy
4.129 5.142 4.709 Dy
5.472 6.123 0.000 Dy
3.011 7.091 1.842 Dy
4.305 11.418 6.195 Dy
2.835 0.814 0.000 Tm
```

Output
Symmetry: No. 12
Density of states at the Fermi level (states/eV/cell): 14.38
M_tot (μB per cell): 0.00
Calculated volume (A^3/atom): 32.78
Crystal system: monoclinic
ρ (kg/m3): 8063

Stability summary - winner: version B; margin: 1.2 kJ/mol of atoms.

Version A
This record from the Alexandria database describes a relaxed PrDy5Tm4 crystal. The functional is PBE.

Geometry as POSCAR:
```
PrDy5Tm4
1.0
-6.067 -1.222 1.209
-1.192 -6.901 3.487
-2.386 2.515 7.014
Pr Dy Tm
1 5 4
Cartesian
-1.349 -0.272 0.269 Pr
-7.507 -1.318 8.666 Dy
-3.686 -4.932 7.744 Dy
-5.345 -0.552 3.844 Dy
-1.524 -4.167 2.921 Dy
-4.112 -0.828 0.820 Dy
-4.589 -1.495 6.808 Tm
-7.136 -4.320 7.617 Tm
-1.940 -1.174 3.979 Tm
-4.487 -3.999 4.788 Tm
```

Output
Symmetry: No. 79
Density of states at the Fermi level (states/eV/cell): 13.96
M_tot (μB per cell): 0.00
Calculated volume (A^3/atom): 32.33
Crystal system: tetragonal
ρ (kg/m3): 8368

Version B
This record from the Alexandria database describes a relaxed PrDy5Tm4 crystal. The functional is PBE.

Geometry as POSCAR:
```
PrDy5Tm4
1.0
-1.997 1.178 -2.684
5.697 -2.433 -2.657
-6.154 -12.709 2.484
Pr Dy Tm
1 5 4
Cartesian
-0.998 0.589 -1.342 Pr
-1.010 -5.158 -3.129 Dy
-2.358 -5.289 0.078 Dy
-0.096 -8.675 -2.935 Dy
1.850 -0.628 -2.671 Dy
-1.444 -8.806 0.271 Dy
2.434 -4.223 -2.721 Tm
-2.414 -11.021 -2.163 Tm
-4.887 -9.741 -0.136 Tm
-0.039 -2.942 -0.694 Tm
```

Output
Symmetry: No. 2
Density of states at the Fermi level (states/eV/cell): 16.05
M_tot (μB per cell): 0.00
Calculated volume (A^3/atom): 31.66
Crystal system: triclinic
ρ (kg/m3): 8545

Stability summary - winner: version B; margin: 23.5 kJ/mol of atoms.

Version A
This record from the Alexandria database describes a relaxed PrDy6Tm2 crystal. The functional is PBE.

Geometry as POSCAR:
```
PrDy6Tm2
1.0
-3.296 -1.294 0.293
1.940 -6.221 -5.735
-0.814 0.081 12.742
Pr Dy Tm
1 6 2
Cartesian
0.000 0.000 0.000 Pr
-2.030 -4.603 -0.105 Dy
-0.140 -2.831 7.405 Dy
-1.455 -4.938 4.853 Dy
-2.716 -1.647 5.256 Dy
0.546 -5.786 2.044 Dy
-0.715 -2.496 2.447 Dy
-0.051 -5.387 -2.896 Tm
-2.119 -2.047 10.196 Tm
```

Output
Symmetry: No. 12
Density of states at the Fermi level (states/eV/cell): 12.70
M_tot (μB per cell): 0.00
Calculated volume (A^3/atom): 31.58
Crystal system: monoclinic
ρ (kg/m3): 8492

Version B
This record from the Alexandria database describes a relaxed PrDy6Tm2 crystal. The functional is PBE.

Geometry as POSCAR:
```
PrDy6Tm2
1.0
-2.410 -1.697 5.280
-3.864 -5.279 -3.461
2.901 -6.756 -0.847
Pr Dy Tm
1 6 2
Cartesian
0.000 0.000 0.000 Pr
0.189 -7.979 -0.427 Dy
-1.493 -10.277 -1.941 Dy
-2.762 -7.335 -1.567 Dy
-3.562 -5.753 1.398 Dy
-1.879 -3.455 2.913 Dy
-0.611 -6.397 2.538 Dy
-2.539 -9.355 1.285 Tm
-0.834 -4.378 -0.314 Tm
```

Output
Symmetry: No. 12
Density of states at the Fermi level (states/eV/cell): 13.59
M_tot (μB per cell): 0.00
Calculated volume (A^3/atom): 31.88
Crystal system: monoclinic
ρ (kg/m3): 8415

Stability summary - winner: version A; margin: 20.8 kJ/mol of atoms.

Version A
This record from the Alexandria database describes a relaxed Pr5DyTm2 crystal. The functional is PBE.

Geometry as POSCAR:
```
Pr5DyTm2
1.0
13.643 -4.544 3.683
-5.742 13.183 3.683
3.500 3.827 6.851
Pr Dy Tm
10 2 4
Cartesian
8.971 4.999 8.821 Pr
2.430 7.467 5.395 Pr
0.159 6.172 3.535 Pr
12.314 -3.487 4.037 Pr
7.883 2.622 6.960 Pr
14.221 -1.402 6.754 Pr
-2.820 13.868 7.462 Pr
-0.913 15.953 10.179 Pr
3.517 9.844 7.256 Pr
11.242 6.294 10.681 Pr
10.515 0.073 5.395 Dy
0.886 12.393 8.821 Dy
6.821 -2.272 1.841 Tm
7.450 8.147 10.533 Tm
5.700 6.233 7.108 Tm
12.522 3.961 8.949 Tm
```

Output
Symmetry: No. 15
Density of states at the Fermi level (states/eV/cell): 20.68
M_tot (μB per cell): 0.00
Calculated volume (A^3/atom): 34.48
Crystal system: monoclinic
ρ (kg/m3): 7253

Version B
This record from the Alexandria database describes a relaxed Pr5DyTm2 crystal. The functional is PBE.

Geometry as POSCAR:
```
Pr5DyTm2
1.0
-5.999 7.080 0.565
-0.807 0.056 -9.262
-1.432 -7.697 4.745
Pr Dy Tm
10 2 4
Cartesian
-4.435 -1.698 -2.892 Pr
-5.360 3.241 1.885 Pr
0.000 0.000 0.000 Pr
-3.403 3.568 -4.348 Pr
-2.879 -3.802 -5.837 Pr
-5.233 -0.307 1.852 Pr
-7.273 1.831 -0.754 Pr
-3.005 -0.254 -5.804 Pr
-0.966 -2.392 -3.198 Pr
-3.804 1.137 -1.060 Pr
-5.821 1.503 -4.150 Dy
-2.418 -2.065 0.198 Dy
-1.161 1.053 -3.197 Tm
-3.993 4.581 -0.986 Tm
-2.814 2.555 -7.710 Tm
-5.645 6.083 -5.499 Tm
```

Output
Symmetry: No. 140
Density of states at the Fermi level (states/eV/cell): 21.48
M_tot (μB per cell): 0.68
Calculated volume (A^3/atom): 34.42
Crystal system: tetragonal
ρ (kg/m3): 7267

Stability summary - winner: version B; margin: 14.3 kJ/mol of atoms.

Version A
This record from the Alexandria database describes a relaxed PrDy6Tm crystal. The functional is PBE.

Geometry as POSCAR:
```
PrDy6Tm
1.0
5.035 0.000 0.000
0.000 5.035 0.000
0.000 0.000 10.047
Pr Dy Tm
1 6 1
Cartesian
0.000 0.000 5.023 Pr
2.517 2.517 0.000 Dy
2.517 2.517 5.023 Dy
2.517 0.000 2.475 Dy
2.517 0.000 7.572 Dy
0.000 2.517 2.475 Dy
0.000 2.517 7.572 Dy
0.000 0.000 0.000 Tm
```

Output
Symmetry: No. 123
Density of states at the Fermi level (states/eV/cell): 12.09
M_tot (μB per cell): 0.00
Calculated volume (A^3/atom): 31.83
Crystal system: tetragonal
ρ (kg/m3): 8378

Version B
This record from the Alexandria database describes a relaxed PrDy6Tm crystal. The functional is PBE.

Geometry as POSCAR:
```
PrDy6Tm
1.0
-1.690 5.682 3.147
3.165 -1.998 5.369
3.243 5.852 -1.887
Pr Dy Tm
1 6 1
Cartesian
0.000 0.000 0.000 Pr
3.658 1.848 3.319 Dy
3.128 4.771 4.963 Dy
1.591 4.765 1.666 Dy
1.061 7.688 3.311 Dy
4.679 7.440 3.838 Dy
0.040 2.096 2.791 Dy
1.582 -0.999 2.684 Tm
```

Output
Symmetry: No. 2
Density of states at the Fermi level (states/eV/cell): 13.32
M_tot (μB per cell): 0.00
Calculated volume (A^3/atom): 32.28
Crystal system: triclinic
ρ (kg/m3): 8261

Stability summary - winner: version A; margin: 17.4 kJ/mol of atoms.